1.
The following is a DFT calculation (PBE-GGA) of a geometry-optimized Zr2TeBr structure.

Properties
As for the density: 5.83 g/cm³. The calculation puts the formation energy (no corrections) at -2.460 eV per formula unit. The volume comes out at 27.7 Å³ per atom. The density of states at the Fermi level is 0.773 states/eV per atom.

Geometry as CIF:
```
data_Zr2TeBr
_cell_length_a 3.954
_cell_length_b 5.435
_cell_length_c 10.328
_cell_angle_alpha 90.00
_cell_angle_beta 90.00
_cell_angle_gamma 90.00
_space_group_name_H-M_alt 'C m m 2'
_space_group_IT_number 35
_space_group_name_Hall 'C 2 -2'
loop_
_atom_site_label
_atom_site_fract_x
_atom_site_fract_y
_atom_site_fract_z
Zr1 0.000 0.000 0.000
Zr2 0.000 0.500 0.227
Te1 0.000 0.000 0.426
Br1 0.000 0.500 0.813
```

---

2.
The following is a DFT calculation (PBE-GGA) of a geometry-optimized ZrTe2Br2 structure.

Properties
As for the density: 4.83 g/cm³. The calculation puts the formation energy (no corrections) at -4.653 eV per formula unit. The volume comes out at 34.8 Å³ per atom.

Geometry as CIF:
```
data_ZrTe2Br2
_cell_length_a 7.036
_cell_length_b 13.175
_cell_length_c 7.983
_cell_angle_alpha 90.00
_cell_angle_beta 109.98
_cell_angle_gamma 90.00
_space_group_name_H-M_alt 'C 1 2/m 1'
_space_group_IT_number 12
_space_group_name_Hall '-C 2y'
loop_
_atom_site_label
_atom_site_fract_x
_atom_site_fract_y
_atom_site_fract_z
Zr1 0.000 0.144 0.000
Te1 0.106 0.000 0.317
Te2 0.153 0.500 0.887
Br1 0.234 0.217 0.788
```

---

3.
The following is a DFT calculation (PBE-GGA) of a geometry-optimized Zr2TeBr structure.

Properties
As for the density: 6.76 g/cm³. The calculation puts the formation energy (no corrections) at -1.096 eV per formula unit. The volume comes out at 24.0 Å³ per atom. The density of states at the Fermi level is 0.946 states/eV per atom.

Geometry as CIF:
```
data_Zr2TeBr
_cell_length_a 3.502
_cell_length_b 5.926
_cell_length_c 9.238
_cell_angle_alpha 90.00
_cell_angle_beta 90.00
_cell_angle_gamma 90.00
_space_group_name_H-M_alt 'C m m m'
_space_group_IT_number 65
_space_group_name_Hall '-C 2 2'
loop_
_atom_site_label
_atom_site_fract_x
_atom_site_fract_y
_atom_site_fract_z
Zr1 0.000 0.000 0.247
Te1 0.000 0.500 0.000
Br1 0.000 0.500 0.500
```

---

4.
The following is a DFT calculation (PBE-GGA) of a geometry-optimized ZrTeBr structure.

Properties
As for the density: 5.17 g/cm³. The calculation puts the formation energy (no corrections) at -3.022 eV per formula unit. The volume comes out at 32.0 Å³ per atom. The density of states at the Fermi level is 0.586 states/eV per atom.

Geometry as CIF:
```
data_ZrTeBr
_cell_length_a 13.905
_cell_length_b 3.652
_cell_length_c 11.345
_cell_angle_alpha 90.00
_cell_angle_beta 90.00
_cell_angle_gamma 90.00
_space_group_name_H-M_alt 'P m m a'
_space_group_IT_number 51
_space_group_name_Hall '-P 2a 2a'
loop_
_atom_site_label
_atom_site_fract_x
_atom_site_fract_y
_atom_site_fract_z
Zr1 0.088 0.000 0.076
Zr2 0.250 0.500 0.398
Te1 0.076 0.500 0.869
Te2 0.250 0.500 0.136
Br1 0.100 0.000 0.347
Br2 0.250 0.000 0.584
```

---

5.
The following is a DFT calculation (PBE-GGA) of a geometry-optimized ZrTe2Br8 structure.

Properties
As for the density: 3.20 g/cm³. The calculation puts the formation energy (no corrections) at -7.632 eV per formula unit. The volume comes out at 46.5 Å³ per atom.

Geometry as CIF:
```
data_ZrTe2Br8
_cell_length_a 11.010
_cell_length_b 10.959
_cell_length_c 9.892
_cell_angle_alpha 90.00
_cell_angle_beta 121.02
_cell_angle_gamma 90.00
_space_group_name_H-M_alt 'C 1 2/m 1'
_space_group_IT_number 12
_space_group_name_Hall '-C 2y'
loop_
_atom_site_label
_atom_site_fract_x
_atom_site_fract_y
_atom_site_fract_z
Zr1 0.000 0.000 0.000
Te1 0.089 0.000 0.439
Br1 0.069 0.169 0.857
Br2 0.192 0.500 0.287
Br3 0.240 0.500 0.753
```

---

6.
The following is a DFT calculation (PBE-GGA) of a geometry-optimized ZrTeBr structure.

Properties
As for the density: 5.77 g/cm³. The calculation puts the formation energy (no corrections) at -1.970 eV per formula unit. The volume comes out at 28.7 Å³ per atom. The density of states at the Fermi level is 1.454 states/eV per atom.

Geometry as CIF:
```
data_ZrTeBr
_cell_length_a 7.008
_cell_length_b 7.008
_cell_length_c 7.008
_cell_angle_alpha 90.00
_cell_angle_beta 90.00
_cell_angle_gamma 90.00
_space_group_name_H-M_alt 'F -4 3 m'
_space_group_IT_number 216
_space_group_name_Hall 'F -4 2 3'
loop_
_atom_site_label
_atom_site_fract_x
_atom_site_fract_y
_atom_site_fract_z
Zr1 0.000 0.000 0.000
Te1 0.250 0.250 0.750
Br1 0.250 0.250 0.250
```

---

7.
The following is a DFT calculation (PBE-GGA) of a geometry-optimized Zr2Te2Br structure.

Properties
As for the density: 6.89 g/cm³. The calculation puts the formation energy (no corrections) at -4.011 eV per formula unit. The volume comes out at 25.0 Å³ per atom. The density of states at the Fermi level is 0.385 states/eV per atom.

Geometry as CIF:
```
data_Zr2Te2Br
_cell_length_a 8.203
_cell_length_b 8.203
_cell_length_c 3.708
_cell_angle_alpha 90.00
_cell_angle_beta 90.00
_cell_angle_gamma 90.00
_space_group_name_H-M_alt 'P 4/m b m'
_space_group_IT_number 127
_space_group_name_Hall '-P 4 2ab'
loop_
_atom_site_label
_atom_site_fract_x
_atom_site_fract_y
_atom_site_fract_z
Zr1 0.136 0.364 0.000
Te1 0.147 0.647 0.500
Br1 0.000 0.000 0.000
```

---

8.
The following is a DFT calculation (PBE-GGA) of a geometry-optimized Zr2TeBr structure.

Properties
As for the density: 6.48 g/cm³. The calculation puts the formation energy (no corrections) at -0.571 eV per formula unit. The volume comes out at 25.0 Å³ per atom. The density of states at the Fermi level is 1.359 states/eV per atom.

Geometry as CIF:
```
data_Zr2TeBr
_cell_length_a 7.607
_cell_length_b 7.607
_cell_length_c 6.906
_cell_angle_alpha 90.00
_cell_angle_beta 90.00
_cell_angle_gamma 90.00
_space_group_name_H-M_alt 'I -4 2 d'
_space_group_IT_number 122
_space_group_name_Hall 'I -4 2bw'
loop_
_atom_site_label
_atom_site_fract_x
_atom_site_fract_y
_atom_site_fract_z
Zr1 0.217 0.250 0.125
Te1 0.000 0.000 0.500
Br1 0.000 0.000 0.000
```

---

9.
The following is a DFT calculation (PBE-GGA) of a geometry-optimized Zr3Te2Br4 structure.

Properties
As for the density: 5.22 g/cm³. The calculation puts the formation energy (no corrections) at -9.676 eV per formula unit. The volume comes out at 30.0 Å³ per atom. The density of states at the Fermi level is 0.513 states/eV per atom.

Geometry as CIF:
```
data_Zr3Te2Br4
_cell_length_a 3.6879
_cell_length_b 3.6879
_cell_length_c 22.9055
_cell_angle_alpha 90.00
_cell_angle_beta 90.00
_cell_angle_gamma 120.00
_space_group_name_H-M_alt 'P -6 m 2'
_space_group_IT_number 187
_space_group_name_Hall 'P -6 2'
loop_
_atom_site_label
_atom_site_fract_x
_atom_site_fract_y
_atom_site_fract_z
Zr1 0.0000 0.0000 0.0000
Zr2 0.3333 0.6667 0.3300
Te1 0.3333 0.6667 0.0854
Br1 0.0000 0.0000 0.2523
Br2 0.0000 0.0000 0.4082
```

---

10.
The following is a DFT calculation (PBE-GGA) of a geometry-optimized ZrTe4Br structure.

Properties
As for the density: 6.50 g/cm³. The calculation puts the formation energy (no corrections) at 1.922 eV per formula unit. The volume comes out at 29.0 Å³ per atom. The density of states at the Fermi level is 1.067 states/eV per atom.

Geometry as CIF:
```
data_ZrTe4Br
_cell_length_a 8.866
_cell_length_b 8.866
_cell_length_c 8.866
_cell_angle_alpha 90.00
_cell_angle_beta 90.00
_cell_angle_gamma 90.00
_space_group_name_H-M_alt 'F -4 3 m'
_space_group_IT_number 216
_space_group_name_Hall 'F -4 2 3'
loop_
_atom_site_label
_atom_site_fract_x
_atom_site_fract_y
_atom_site_fract_z
Zr1 0.000 0.000 0.000
Te1 0.126 0.126 0.374
Br1 0.250 0.250 0.750
```

---

11.
The following is a DFT calculation (PBE-GGA) of a geometry-optimized Zr2TeBr structure.

Properties
As for the density: 6.89 g/cm³. The calculation puts the formation energy (no corrections) at -2.028 eV per formula unit. The volume comes out at 23.5 Å³ per atom. The density of states at the Fermi level is 0.938 states/eV per atom.

Geometry as CIF:
```
data_Zr2TeBr
_cell_length_a 3.565
_cell_length_b 5.302
_cell_length_c 4.970
_cell_angle_alpha 90.00
_cell_angle_beta 90.00
_cell_angle_gamma 90.00
_space_group_name_H-M_alt 'P m m 2'
_space_group_IT_number 25
_space_group_name_Hall 'P 2 -2'
loop_
_atom_site_label
_atom_site_fract_x
_atom_site_fract_y
_atom_site_fract_z
Zr1 0.000 0.000 0.000
Zr2 0.500 0.500 0.236
Te1 0.500 0.000 0.473
Br1 0.000 0.500 0.806
```

---

12.
The following is a DFT calculation (PBE-GGA) of a geometry-optimized Zr2TeBr structure.

Properties
As for the density: 5.76 g/cm³. The calculation puts the formation energy (no corrections) at -2.872 eV per formula unit. The volume comes out at 28.1 Å³ per atom. The density of states at the Fermi level is 1.260 states/eV per atom.

Geometry as CIF:
```
data_Zr2TeBr
_cell_length_a 3.5181
_cell_length_b 3.5181
_cell_length_c 31.4458
_cell_angle_alpha 90.00
_cell_angle_beta 90.00
_cell_angle_gamma 120.00
_space_group_name_H-M_alt 'R 3 m'
_space_group_IT_number 160
_space_group_name_Hall 'R 3 -2"'
loop_
_atom_site_label
_atom_site_fract_x
_atom_site_fract_y
_atom_site_fract_z
Zr1 0.0000 0.0000 0.0000
Zr2 0.0000 0.0000 0.2568
Te1 0.0000 0.0000 0.5211
Br1 0.0000 0.0000 0.7272
```

---

> Which formula does entry 12 have?

Zr2TeBr